# 1
SrHfTcC2: relaxed, GGA-PBE. Values from VASP.

```
&SYSTEM
  ibrav = 0, nat = 5, ntyp = 4
/
ATOMIC_SPECIES
Sr 87.62 Sr.upf
Hf 178.49 Hf.upf
Tc 98.00 Tc.upf
C 12.01 C.upf
CELL_PARAMETERS angstrom
4.3446 0.0000 0.0000
0.0000 4.3446 0.0000
0.0000 0.0000 5.6703
ATOMIC_POSITIONS angstrom
Sr 0.0000 0.0000 0.0000
Hf 0.0000 0.0000 2.8352
Tc 2.1723 2.1723 2.8352
C 0.0000 2.1723 0.0000
C 2.1723 0.0000 0.0000
```

Results
space-group type = P4/mmm

# 2
SrHf2VC: relaxed, GGA-PBE. Values from VASP.

```
&SYSTEM
  ibrav = 0, nat = 5, ntyp = 4
/
ATOMIC_SPECIES
Sr 87.62 Sr.upf
Hf 178.49 Hf.upf
V 50.94 V.upf
C 12.01 C.upf
CELL_PARAMETERS angstrom
5.1399 0.0000 0.0000
0.0000 5.1399 0.0000
0.0000 0.0000 4.4116
ATOMIC_POSITIONS angstrom
Sr 0.0000 0.0000 0.0000
Hf 0.0000 2.5699 0.0000
Hf 2.5699 0.0000 0.0000
V 0.0000 0.0000 2.2058
C 2.5699 2.5699 2.2058
```

Results
space-group type = P4/mmm

# 3
HfTa3C: relaxed, GGA-PBE. Values from VASP.

```
&SYSTEM
  ibrav = 0, nat = 5, ntyp = 3
/
ATOMIC_SPECIES
Hf 178.49 Hf.upf
Ta 180.95 Ta.upf
C 12.01 C.upf
CELL_PARAMETERS angstrom
4.3784 0.0000 0.0000
0.0000 4.3784 0.0000
0.0000 0.0000 4.3784
ATOMIC_POSITIONS angstrom
Hf 0.0000 0.0000 0.0000
Ta 0.0000 2.1892 2.1892
Ta 2.1892 0.0000 2.1892
Ta 2.1892 2.1892 0.0000
C 2.1892 2.1892 2.1892
```

Results
space-group type = Pm-3m
offset from the most stable computed form = 0 meV/atom

# 4
HfTaC: relaxed, GGA-PBE. Values from VASP.

```
&SYSTEM
  ibrav = 0, nat = 12, ntyp = 3
/
ATOMIC_SPECIES
Hf 178.49 Hf.upf
Ta 180.95 Ta.upf
C 12.01 C.upf
CELL_PARAMETERS angstrom
10.9528 0.0000 0.0000
0.0000 3.2347 0.0000
0.0000 0.0000 5.1162
ATOMIC_POSITIONS angstrom
Hf 2.3407 0.8087 1.0961
Hf 3.1357 2.4260 3.6542
Hf 7.8171 0.8087 1.4620
Hf 8.6120 2.4260 4.0201
Ta 0.3542 0.8087 3.8369
Ta 5.1222 2.4260 1.2788
Ta 5.8305 0.8087 3.8374
Ta 10.5986 2.4260 1.2793
C 1.3158 2.4260 4.9920
C 4.1605 0.8087 2.4339
C 6.7922 2.4260 2.6823
C 9.6369 0.8087 0.1242
```

Results
space-group type = Pnma
offset from the most stable computed form = 0 meV/atom

# 5
Hf3TaC: relaxed, GGA-PBE. Values from VASP.

```
&SYSTEM
  ibrav = 0, nat = 5, ntyp = 3
/
ATOMIC_SPECIES
Hf 178.49 Hf.upf
Ta 180.95 Ta.upf
C 12.01 C.upf
CELL_PARAMETERS angstrom
4.5041 0.0000 0.0000
0.0000 4.5041 0.0000
0.0000 0.0000 4.5041
ATOMIC_POSITIONS angstrom
Hf 0.0000 0.0000 2.2520
Hf 0.0000 2.2520 0.0000
Hf 2.2520 0.0000 0.0000
Ta 2.2520 2.2520 2.2520
C 0.0000 0.0000 0.0000
```

Results
space-group type = Pm-3m
offset from the most stable computed form = 0 meV/atom

# 6
HfTaC: relaxed, GGA-PBE. Values from VASP.

```
&SYSTEM
  ibrav = 0, nat = 6, ntyp = 3
/
ATOMIC_SPECIES
Hf 178.49 Hf.upf
Ta 180.95 Ta.upf
C 12.01 C.upf
CELL_PARAMETERS angstrom
5.1671 -1.6119 0.0000
5.1671 1.6119 0.0000
-0.9642 0.0000 5.4710
ATOMIC_POSITIONS angstrom
Hf 0.9219 0.0000 2.0394
Hf 8.4481 0.0000 3.4316
Ta 3.8441 0.0000 0.7071
Ta 5.5259 0.0000 4.7639
C 0.0000 0.0000 0.0000
C 4.6850 0.0000 2.7355
```

Results
space-group type = C2/m
offset from the most stable computed form = 59 meV/atom

# 7
HfTaC2: relaxed, GGA-PBE. Values from VASP.

```
&SYSTEM
  ibrav = 0, nat = 4, ntyp = 3
/
ATOMIC_SPECIES
Hf 178.49 Hf.upf
Ta 180.95 Ta.upf
C 12.01 C.upf
CELL_PARAMETERS angstrom
0.0000 2.8458 2.8458
2.8458 0.0000 2.8458
2.8458 2.8458 0.0000
ATOMIC_POSITIONS angstrom
Hf 0.0000 0.0000 0.0000
Ta 2.8458 2.8458 2.8458
C 1.4229 1.4229 1.4229
C 4.2687 4.2687 4.2687
```

Results
space-group type = Fm-3m
offset from the most stable computed form = 1272 meV/atom

# 8
HfTaC2: relaxed, GGA-PBE. Values from VASP.

```
&SYSTEM
  ibrav = 0, nat = 4, ntyp = 3
/
ATOMIC_SPECIES
Hf 178.49 Hf.upf
Ta 180.95 Ta.upf
C 12.01 C.upf
CELL_PARAMETERS angstrom
1.5919 0.9191 5.5426
-1.5919 0.9191 5.5426
0.0000 -1.8381 5.5426
ATOMIC_POSITIONS angstrom
Hf 0.0000 0.0000 0.0000
Ta 0.0000 0.0000 13.7139
C 0.0000 0.0000 6.8338
C 0.0000 0.0000 9.5471
```

Results
space-group type = R3m
offset from the most stable computed form = 269 meV/atom

Short version: energy of formation = 3.38 3.38 -0.19 -0.60 -0.22 -0.54 0.47 -0.54 eV per atom, in the order given.